1.
Material: PrAlO2
Method: DFT, GGA-PBE
State: optimized geometry

The structure in CIF format:
```
data_PrAlO2
_space_group_name_H-M_alt 'R -3 m'
_space_group_IT_number 166
_space_group_name_Hall '-R 3 2"'
_cell_length_a 3.1078
_cell_length_b 3.1078
_cell_length_c 20.1782
_cell_angle_alpha 90.00
_cell_angle_beta 90.00
_cell_angle_gamma 120.00
loop_
_atom_site_label
_atom_site_type_symbol
_atom_site_fract_x
_atom_site_fract_y
_atom_site_fract_z
_atom_site_occupancy
Pr1 Pr 0.0000 0.0000 0.0000 1
Al1 Al 0.0000 0.0000 0.5000 1
O1 O 0.0000 0.0000 0.1203 1
```

Summary:
formation energy from raw total energies: -2.0827 eV per atom
size of the total moment: 0.6 μB per cell

---

2.
Material: CePm6NdTm2
Method: DFT, GGA-PBE
State: optimized geometry

The structure in CIF format:
```
data_CePm6NdTm2
_space_group_name_H-M_alt 'C 1 2/m 1'
_space_group_IT_number 12
_space_group_name_Hall '-C 2y'
_cell_length_a 11.3384
_cell_length_b 6.9141
_cell_length_c 8.9298
_cell_angle_alpha 90.00
_cell_angle_beta 103.22
_cell_angle_gamma 90.00
loop_
_atom_site_label
_atom_site_type_symbol
_atom_site_fract_x
_atom_site_fract_y
_atom_site_fract_z
_atom_site_occupancy
Ce1 Ce 0.0000 0.0000 0.0000 1
Pm1 Pm 0.1310 0.0000 0.4183 1
Pm2 Pm 0.1691 0.2638 0.8019 1
Nd1 Nd 0.0000 0.5000 0.5000 1
Tm1 Tm 0.0916 0.5000 0.1595 1
```

Summary:
formation enthalpy at 0 K: 2.41 eV/f.u.
size of the total moment: 2.9 μB per cell

---

3.
Material: BaLa2TlRh
Method: DFT, GGA-PBE
State: optimized geometry

The structure in CIF format:
```
data_BaLa2TlRh
_space_group_name_H-M_alt 'P 4/m m m'
_space_group_IT_number 123
_space_group_name_Hall '-P 4 2'
_cell_length_a 5.5288
_cell_length_b 5.5288
_cell_length_c 6.0511
_cell_angle_alpha 90.00
_cell_angle_beta 90.00
_cell_angle_gamma 90.00
loop_
_atom_site_label
_atom_site_type_symbol
_atom_site_fract_x
_atom_site_fract_y
_atom_site_fract_z
_atom_site_occupancy
Ba1 Ba 0.0000 0.0000 0.0000 1
La1 La 0.0000 0.5000 0.5000 1
Tl1 Tl 0.5000 0.5000 0.0000 1
Rh1 Rh 0.0000 0.0000 0.5000 1
```

Summary:
polymorph energy (0 for the lowest one): 12 meV per atom
formation enthalpy at 0 K: -1.52 eV/f.u.
size of the total moment: 0.0 μB per cell

---

4.
Material: BaNiAg2
Method: DFT, GGA-PBE
State: optimized geometry

The structure in CIF format:
```
data_BaNiAg2
_space_group_name_H-M_alt 'I m m 2'
_space_group_IT_number 44
_space_group_name_Hall 'I 2 -2'
_cell_length_a 4.6946
_cell_length_b 5.8580
_cell_length_c 7.5660
_cell_angle_alpha 90.00
_cell_angle_beta 90.00
_cell_angle_gamma 90.00
loop_
_atom_site_label
_atom_site_type_symbol
_atom_site_fract_x
_atom_site_fract_y
_atom_site_fract_z
_atom_site_occupancy
Ba1 Ba 0.0000 0.0000 0.0000 1
Ni1 Ni 0.0000 0.5000 0.1656 1
Ag1 Ag 0.0000 0.0000 0.5301 1
Ag2 Ag 0.0000 0.5000 0.8120 1
```

Summary:
polymorph energy (0 for the lowest one): 199 meV per atom
formation enthalpy at 0 K: 0.81 eV/f.u.
size of the total moment: 0.0 μB per cell

---

5.
Material: InRe2Mo
Method: DFT, GGA-PBE
State: optimized geometry

The structure in CIF format:
```
data_InRe2Mo
_space_group_name_H-M_alt 'I 4/m m m'
_space_group_IT_number 139
_space_group_name_Hall '-I 4 2'
_cell_length_a 4.0059
_cell_length_b 4.0059
_cell_length_c 8.1442
_cell_angle_alpha 90.00
_cell_angle_beta 90.00
_cell_angle_gamma 90.00
loop_
_atom_site_label
_atom_site_type_symbol
_atom_site_fract_x
_atom_site_fract_y
_atom_site_fract_z
_atom_site_occupancy
In1 In 0.0000 0.0000 0.0000 1
Re1 Re 0.0000 0.5000 0.2500 1
Mo1 Mo 0.0000 0.0000 0.5000 1
```

Summary:
formation enthalpy at 0 K: 1.92 eV/f.u.
size of the total moment: 0.0 μB per cell

---

6.
Material: CsScCd2
Method: DFT, GGA-PBE
State: optimized geometry

The structure in CIF format:
```
data_CsScCd2
_space_group_name_H-M_alt 'F m -3 m'
_space_group_IT_number 225
_space_group_name_Hall '-F 4 2 3'
_cell_length_a 8.0651
_cell_length_b 8.0651
_cell_length_c 8.0651
_cell_angle_alpha 90.00
_cell_angle_beta 90.00
_cell_angle_gamma 90.00
loop_
_atom_site_label
_atom_site_type_symbol
_atom_site_fract_x
_atom_site_fract_y
_atom_site_fract_z
_atom_site_occupancy
Cs1 Cs 0.0000 0.0000 0.0000 1
Sc1 Sc 0.0000 0.0000 0.5000 1
Cd1 Cd 0.2500 0.2500 0.2500 1
```

Summary:
formation enthalpy at 0 K: 1.47 eV/f.u.
size of the total moment: 0.0 μB per cell

---

7.
Material: Er8MgIn2
Method: DFT, GGA-PBE
State: optimized geometry

The structure in CIF format:
```
data_Er8MgIn2
_space_group_name_H-M_alt 'C 1 2/m 1'
_space_group_IT_number 12
_space_group_name_Hall '-C 2y'
_cell_length_a 16.0987
_cell_length_b 5.3131
_cell_length_c 8.4598
_cell_angle_alpha 90.00
_cell_angle_beta 120.68
_cell_angle_gamma 90.00
loop_
_atom_site_label
_atom_site_type_symbol
_atom_site_fract_x
_atom_site_fract_y
_atom_site_fract_z
_atom_site_occupancy
Er1 Er 0.0630 0.0000 0.2207 1
Er2 Er 0.0921 0.5000 0.9520 1
Er3 Er 0.1361 0.0000 0.6814 1
Er4 Er 0.1811 0.5000 0.4415 1
Mg1 Mg 0.0000 0.5000 0.5000 1
In1 In 0.2282 0.0000 0.1272 1
```

Summary:
formation enthalpy at 0 K: -1.95 eV/f.u.
size of the total moment: 0.0 μB per cell

---

8.
Material: Ce12AlIr7
Method: DFT, GGA-PBE
State: optimized geometry

The structure in CIF format:
```
data_Ce12AlIr7
_space_group_name_H-M_alt 'R -3'
_space_group_IT_number 148
_space_group_name_Hall '-R 3'
_cell_length_a 14.1435
_cell_length_b 14.1435
_cell_length_c 8.2319
_cell_angle_alpha 90.00
_cell_angle_beta 90.00
_cell_angle_gamma 120.00
loop_
_atom_site_label
_atom_site_type_symbol
_atom_site_fract_x
_atom_site_fract_y
_atom_site_fract_z
_atom_site_occupancy
Ce1 Ce 0.0301 0.1732 0.2812 1
Ce2 Ce 0.0440 0.4558 0.2790 1
Al1 Al 0.0000 0.0000 0.0000 1
Ir1 Ir 0.0000 0.0000 0.5000 1
Ir2 Ir 0.0405 0.2002 0.9180 1
```

Summary:
formation enthalpy at 0 K: -10.03 eV/f.u.
size of the total moment: 7.4 μB per cell